Density functional theory data (GGA+U) for a geometry-optimized LiFe4B4O12 structure.

Structure (POSCAR):
```
LiFe4B4O12
1.0
5.2139 0.0000 0.0000
2.5781 4.6219 0.0000
0.3643 0.1889 10.1765
Li Fe B O
1 4 4 12
direct
0.0000 0.0000 0.0000
0.0048 0.6215 0.2192
0.3334 0.9793 0.7248
0.3396 0.3295 0.9657
0.6476 0.6644 0.4765
0.3182 0.3184 0.4744
0.3375 0.9725 0.2173
0.6697 0.6517 0.9717
0.9954 0.6462 0.7217
0.0331 0.8811 0.7311
0.0563 0.5217 0.4150
0.1250 0.9038 0.1911
0.2054 0.3767 0.7675
0.3068 0.2366 0.1740
0.3325 0.0602 0.5221
0.4257 0.9031 0.9227
0.5419 0.3748 0.4860
0.5941 0.7761 0.2807
0.6828 0.3895 0.9729
0.7356 0.6735 0.6707
0.9032 0.6802 0.0212
```

Summary:
M_tot: 19.006 μB/f.u.
V: 245.2 Å³ per cell
N(E_F): 0.000 states/eV per atom
E above lowest polymorph: 1 meV/atom